Compound: BeInPb2
Source: Alexandria via LeMat-Bulk
Functional: PBE
Structure: relaxed

Cell: 3.8344 5.6601 5.6747 Å, 57.65 90.00 90.00°
Sites, in units of the cell vectors:
Be: 0.0000 0.5055 0.5038
Pb: 0.0000 0.9964 0.9953
Pb: 0.5000 0.3234 0.3242
In: 0.5000 0.6747 0.6767

## Properties
Space-group type   Pm
Energy   -0.1149 Ha/atom
E above lowest polymorph   5 meV per atom
Energy of formation from the pure elements   0.345 eV per atom

Compound: BeInPb2
Source: Alexandria via LeMat-Bulk
Functional: PBE
Structure: relaxed

Cell: 5.4984 5.4984 8.7690 Å, 71.73 71.73 90.00°
Sites, in units of the cell vectors:
Pb: 0.8750 0.7936 0.7500
Pb: 0.3750 0.4564 0.7500
Pb: 0.5436 0.1250 0.2500
Pb: 0.2064 0.6250 0.2500
In: 0.0000 0.0000 0.0000
In: 0.7500 0.2500 0.5000
Be: 0.5000 0.5000 0.0000
Be: 0.2500 0.7500 0.5000

## Properties
Space-group type   I-42d
Energy   -0.1107 Ha/atom
E above lowest polymorph   119 meV per atom
Energy of formation from the pure elements   0.459 eV per atom